DFT (PBE) results for an optimized crystal structure of Sm2BiPd2.

Properties
- V: 120.95 Å³/f.u.
- Space-group type: P4/mbm (127)
- Calculated formation energy: -0.861 eV per atom

abc: 7.900 7.900 3.876
angles: 90.00 90.00 90.00
Sites, in units of the cell vectors:
Sm  0.174  0.326  0.000
Sm  0.326  0.826  0.000
Sm  0.674  0.174  0.000
Sm  0.826  0.674  0.000
Bi  0.000  0.000  0.500
Bi  0.500  0.500  0.500
Pd  0.123  0.623  0.500
Pd  0.377  0.123  0.500
Pd  0.623  0.877  0.500
Pd  0.877  0.377  0.500